K2FeRuCl: relaxed, PBE.

Cell lengths 6.314, 6.314, 4.306 Å; angles 90.00, 90.00, 90.00 degrees
Fractional coordinates of all 5 atoms:
Cl  0.500  0.500  0.500
Ru  0.000  0.000  0.000
K  0.000  0.500  0.000
Fe  0.000  0.000  0.500
K  0.500  0.000  0.000

Crystal system: tetragonal
SG: P4/mmm

---

KFeSCl2: relaxed, PBE.

Cell lengths 5.050, 5.050, 4.208 Å; angles 90.00, 90.00, 90.00 degrees
Fractional coordinates of all 5 atoms:
Cl  0.500  0.000  0.000
Cl  0.000  0.500  0.000
S  0.000  0.000  0.500
Fe  0.000  0.000  0.000
K  0.500  0.500  0.500

Crystal system: tetragonal
Polymorph energy (0 for the lowest one) (meV per atom): 0.0
SG: P4/mmm

---

KFeSCl2: relaxed, PBE.

Cell lengths 5.529, 5.529, 5.595 Å; angles 90.00, 90.00, 90.00 degrees
Fractional coordinates of all 5 atoms:
Fe  0.500  0.500  0.500
Cl  0.500  0.000  0.000
Cl  0.000  0.500  0.000
S  0.000  0.000  0.500
K  0.000  0.000  0.000

Crystal system: tetragonal
Polymorph energy (0 for the lowest one) (meV per atom): 1344.0
SG: P4/mmm

---

KScFeCl6: relaxed, PBE.

Cell lengths 6.506, 6.507, 7.007 Å; angles 89.97, 90.04, 60.02 degrees
Fractional coordinates of all 9 atoms:
Cl  0.997  0.374  0.297
K  0.000  0.000  0.000
Fe  0.667  0.667  0.500
Cl  0.374  0.997  0.703
Cl  0.376  0.626  0.295
Cl  0.628  0.998  0.296
Cl  0.626  0.376  0.705
Cl  0.998  0.628  0.704
Sc  0.334  0.334  0.500

Crystal system: monoclinic
SG: C2

---

KSrFe2Cl8: relaxed, PBE.

Cell lengths 6.655, 6.655, 9.771 Å; angles 87.70, 87.70, 68.96 degrees
Fractional coordinates of all 12 atoms:
Cl  0.266  0.266  0.968
Fe  0.377  0.377  0.768
Cl  0.746  0.252  0.771
K  0.000  0.000  0.500
Cl  0.254  0.748  0.229
Fe  0.623  0.623  0.232
Cl  0.748  0.254  0.229
Cl  0.717  0.717  0.425
Cl  0.283  0.283  0.575
Cl  0.734  0.734  0.032
Cl  0.252  0.746  0.771
Sr  0.000  0.000  0.000

Crystal system: monoclinic
SG: C2/m

---

KTl3Fe4Cl12: relaxed, PBE.

Cell lengths 9.530, 9.530, 9.530 Å; angles 103.86, 103.86, 103.86 degrees
Fractional coordinates of all 20 atoms:
Fe  0.500  0.972  0.028
Fe  0.500  0.500  0.500
Cl  0.646  0.500  0.354
Cl  0.168  0.346  0.979
Fe  0.972  0.028  0.500
Tl  0.525  0.475  0.000
Fe  0.028  0.500  0.972
Tl  0.000  0.525  0.475
Cl  0.119  0.881  0.500
Cl  0.021  0.654  0.832
Cl  0.500  0.119  0.881
Cl  0.354  0.646  0.500
Cl  0.881  0.500  0.119
K  0.000  0.000  0.000
Cl  0.500  0.354  0.646
Cl  0.979  0.168  0.346
Cl  0.346  0.979  0.168
Cl  0.832  0.021  0.654
Cl  0.654  0.832  0.021
Tl  0.475  0.000  0.525

Crystal system: trigonal
SG: R32

---

KTlFeCl4: relaxed, PBE.

Cell lengths 7.246, 7.183, 8.812 Å; angles 90.00, 108.21, 90.00 degrees
Fractional coordinates of all 14 atoms:
Fe  0.770  0.250  0.698
Cl  0.594  0.250  0.433
Fe  0.230  0.750  0.302
Tl  0.730  0.750  0.930
Cl  0.016  0.503  0.246
Cl  0.984  0.003  0.754
Cl  0.419  0.750  0.137
K  0.219  0.250  0.554
Cl  0.984  0.497  0.754
Cl  0.581  0.250  0.863
K  0.781  0.750  0.446
Cl  0.016  0.997  0.246
Tl  0.270  0.250  0.070
Cl  0.406  0.750  0.567

Crystal system: monoclinic
SG: P2_1/m

---

KTl3Fe2Cl8: relaxed, PBE.

Cell lengths 7.377, 7.377, 9.922 Å; angles 90.00, 90.00, 120.00 degrees
Fractional coordinates of all 14 atoms:
Cl  0.834  0.166  0.723
Cl  0.166  0.834  0.277
Cl  0.834  0.668  0.723
K  0.000  0.000  0.500
Cl  0.332  0.166  0.723
Fe  0.667  0.333  0.804
Cl  0.333  0.667  0.966
Cl  0.668  0.834  0.277
Tl  0.667  0.333  0.318
Tl  0.000  0.000  0.000
Fe  0.333  0.667  0.196
Cl  0.166  0.332  0.277
Tl  0.333  0.667  0.682
Cl  0.667  0.333  0.034

Crystal system: trigonal
SG: P-3m1

---

The following DFT total energy values (in eV for the cell shown) correspond, in order, to the records above: -19.632, -21.037, -14.318, -41.556, -51.263, -81.600, -54.916, -53.684.